VASP calculation (GGA-PBE) on a relaxed CoSeN2 crystal.

Summary:
Its raw formation energy is 1.1053 eV/atom. The magnetization comes out at 1.2 μB/f.u. Its space group is No. 166.

abc: 3.037 3.037 17.654
angles: 90.00 90.00 120.00
Fractional coordinates of all 12 atoms:
Co 0.000 0.000 0.000
Co 0.333 0.667 0.667
Co 0.667 0.333 0.333
Se 0.000 0.000 0.500
Se 0.333 0.667 0.167
Se 0.667 0.333 0.833
N 0.000 0.000 0.102
N 0.000 0.000 0.898
N 0.333 0.667 0.565
N 0.333 0.667 0.769
N 0.667 0.333 0.231
N 0.667 0.333 0.435

---

VASP calculation (GGA-PBE) on a relaxed CoSe2N2 crystal.

Summary:
Its raw formation energy is 1.6577 eV/atom. As for the energy above the lowest structure with this stoichiometry: 1.785 eV per atom. The magnetization comes out at 2.6 μB/f.u. Its space group is No. 123.

abc: 3.632 3.632 6.561
angles: 90.00 90.00 90.00
Fractional coordinates of all 5 atoms:
Co 0.000 0.000 0.000
Se 0.500 0.500 0.000
Se 0.500 0.500 0.500
N 0.000 0.500 0.500
N 0.500 0.000 0.500

---

VASP calculation (GGA-PBE) on a relaxed CoSe2N2 crystal.

Summary:
Its raw formation energy is 1.4396 eV/atom. As for the energy above the lowest structure with this stoichiometry: 1.567 eV per atom. The magnetization comes out at 0.9 μB/f.u. Its space group is No. 123.

abc: 4.836 4.836 3.323
angles: 90.00 90.00 90.00
Fractional coordinates of all 5 atoms:
Co 0.000 0.000 0.000
Se 0.000 0.500 0.000
Se 0.500 0.000 0.000
N 0.000 0.000 0.500
N 0.500 0.500 0.500

---

VASP calculation (GGA-PBE) on a relaxed CoSeN3 crystal.

Summary:
Its raw formation energy is 2.1588 eV/atom. The magnetization comes out at 3.3 μB/f.u. Its space group is No. 221.

abc: 3.717 3.717 3.717
angles: 90.00 90.00 90.00
Fractional coordinates of all 5 atoms:
Co 0.000 0.000 0.000
Se 0.500 0.500 0.500
N 0.000 0.500 0.500
N 0.500 0.000 0.500
N 0.500 0.500 0.000